(1)
GGA-PBE Er3Al2, optimized geometry; symmetry = No. 136; energy of formation from the pure elements = -0.33 eV/atom
1.0
-5.965 1.861 5.236
-5.263 0.575 -6.199
-1.650 -7.321 0.722
Al Er
8 12
direct
0.381 0.381 0.060
0.619 0.619 0.060
0.119 0.881 0.560
0.881 0.119 0.560
0.381 0.381 0.452
0.619 0.619 0.452
0.119 0.881 0.952
0.881 0.119 0.952
0.000 0.500 0.006
0.000 0.500 0.506
0.500 0.000 0.506
0.500 0.000 0.006
0.150 0.150 0.256
0.850 0.850 0.256
0.350 0.650 0.756
0.650 0.350 0.756
0.202 0.202 0.756
0.798 0.798 0.756
0.298 0.702 0.256
0.702 0.298 0.256


(2)
GGA-PBE PuIn3Hg4, optimized geometry; symmetry = No. 10; energy of formation from the pure elements = -0.08 eV/atom
1.0
-0.688 0.297 -4.908
-0.884 -8.217 -0.374
-9.776 0.988 1.401
In Hg Pu
6 8 2
direct
0.000 0.000 0.000
0.000 0.000 0.500
0.501 0.000 0.750
0.499 0.000 0.250
0.501 0.500 0.750
0.499 0.500 0.250
0.500 0.752 0.000
0.500 0.752 0.500
0.500 0.248 0.000
0.500 0.248 0.500
0.001 0.752 0.750
0.999 0.752 0.250
0.999 0.248 0.250
0.001 0.248 0.750
0.000 0.500 0.000
0.000 0.500 0.500


(3)
GGA-PBE Ho5Pd3, optimized geometry; symmetry = No. 130; energy of formation from the pure elements = -0.70 eV/atom; E above lowest polymorph = 0.000 eV/atom
1.0
-2.318 -4.875 3.344
4.959 -7.115 -6.935
9.071 0.080 6.404
Ho Pd
20 12
direct
0.370 0.291 0.089
0.870 0.291 0.911
0.870 0.709 0.089
0.370 0.709 0.911
0.870 0.589 0.791
0.370 0.589 0.209
0.370 0.411 0.791
0.870 0.411 0.209
0.630 0.209 0.411
0.130 0.209 0.589
0.130 0.791 0.411
0.630 0.791 0.589
0.130 0.911 0.709
0.630 0.911 0.291
0.630 0.089 0.709
0.130 0.089 0.291
0.500 0.000 0.000
0.000 0.000 0.000
0.000 0.500 0.500
0.500 0.500 0.500
0.250 0.845 0.155
0.750 0.845 0.845
0.750 0.155 0.155
0.250 0.155 0.845
0.750 0.655 0.345
0.250 0.655 0.655
0.250 0.345 0.345
0.750 0.345 0.655
0.112 0.500 0.000
0.612 0.500 0.000
0.888 0.000 0.500
0.388 0.000 0.500


(4)
GGA-PBE Al3InSn3, optimized geometry; symmetry = No. 223; energy of formation from the pure elements = 0.35 eV/atom
1.0
7.674 0.000 0.000
0.000 7.674 0.000
0.000 0.000 7.674
Al Sn In
6 6 2
direct
0.000 0.250 0.500
0.000 0.750 0.500
0.500 0.000 0.750
0.750 0.500 0.000
0.500 0.000 0.250
0.250 0.500 0.000
0.250 0.000 0.500
0.000 0.500 0.250
0.500 0.750 0.000
0.750 0.000 0.500
0.000 0.500 0.750
0.500 0.250 0.000
0.500 0.500 0.500
0.000 0.000 0.000


(5)
GGA-PBE SrTcCl, optimized geometry; symmetry = No. 216; raw formation energy = 498 meV/atom; E above lowest polymorph = 0.270 eV/atom
1.0
4.757 0.000 0.000
2.378 4.119 0.000
2.378 1.373 3.884
Cl Sr Tc
1 1 1
direct
0.750 0.750 0.750
0.000 0.000 0.000
0.500 0.500 0.500


(6)
GGA-PBE NpTl3Cu2Se6, optimized geometry; symmetry = No. 12; raw formation energy = -432 meV/atom
1.0
0.038 4.916 6.046
-1.341 -7.667 -0.377
7.385 -0.210 -1.175
Np Tl Cu Se
1 3 2 6
direct
0.000 0.000 0.000
0.184 0.816 0.500
0.816 0.184 0.500
0.500 0.500 0.500
0.408 0.592 0.000
0.592 0.408 0.000
0.863 0.579 0.808
0.788 0.788 0.257
0.137 0.421 0.192
0.579 0.863 0.808
0.212 0.212 0.743
0.421 0.137 0.192


(7)
GGA-PBE BeNbO2, optimized geometry; symmetry = No. 122; raw formation energy = -1709 meV/atom
1.0
-1.599 -2.415 3.558
3.590 -2.840 -0.314
2.985 -0.381 4.041
Be Nb O
2 2 4
direct
0.500 0.500 0.000
0.250 0.750 0.500
0.000 0.000 0.000
0.750 0.250 0.500
0.527 0.125 0.250
0.223 0.625 0.250
0.375 0.473 0.750
0.875 0.777 0.750


(8)
GGA-PBE LiCeBr4, optimized geometry; symmetry = No. 10; raw formation energy = -1685 meV/atom; E above lowest polymorph = 0.000 eV/atom
1.0
-0.259 1.123 4.140
-6.491 -2.393 0.244
2.830 -6.275 1.879
Li Ce Br
1 1 4
direct
0.000 0.000 0.000
0.500 0.000 0.500
0.000 0.764 0.317
0.500 0.215 0.169
0.500 0.785 0.831
0.000 0.236 0.683


(9)
GGA-PBE NaGaSe2, optimized geometry; symmetry = No. 14; raw formation energy = -480 meV/atom
1.0
-7.955 -9.083 -14.397
-2.779 -2.029 2.816
0.151 7.331 5.433
Na Ga Se
4 4 8
direct
0.414 0.910 0.054
0.586 0.090 0.946
0.086 0.410 0.446
0.914 0.590 0.554
0.246 0.179 0.172
0.754 0.821 0.828
0.254 0.679 0.328
0.746 0.321 0.672
0.909 0.098 0.766
0.091 0.902 0.234
0.591 0.598 0.734
0.409 0.402 0.266
0.120 0.911 0.733
0.880 0.089 0.267
0.380 0.411 0.767
0.620 0.589 0.233


(10)
GGA-PBE Sm6Ho8Zr, optimized geometry; symmetry = No. 148; energy of formation from the pure elements = 0.13 eV/atom
1.0
1.360 2.448 8.110
-3.719 -4.743 6.106
5.194 -4.973 4.680
Sm Ho Zr
6 8 1
direct
0.893 0.456 0.778
0.222 0.107 0.544
0.544 0.222 0.107
0.456 0.778 0.893
0.778 0.893 0.456
0.107 0.544 0.222
0.111 0.721 0.753
0.247 0.889 0.279
0.279 0.247 0.889
0.577 0.577 0.577
0.423 0.423 0.423
0.721 0.753 0.111
0.753 0.111 0.721
0.889 0.279 0.247
0.000 0.000 0.000


(11)
GGA-PBE Ca3TiBi, optimized geometry; symmetry = No. 221; energy of formation from the pure elements = 0.55 eV/atom; E above lowest polymorph = 0.170 eV/atom
1.0
5.721 0.000 0.000
0.000 5.721 0.000
0.000 0.000 5.721
Ca Bi Ti
3 1 1
direct
0.000 0.500 0.000
0.000 0.000 0.500
0.500 0.000 0.000
0.500 0.500 0.500
0.000 0.000 0.000


(12)
GGA-PBE Er2TmPaBi4, optimized geometry; symmetry = No. 10; energy of formation from the pure elements = -0.60 eV/atom
1.0
-0.925 -1.258 -4.158
6.987 -3.218 -0.580
-4.994 -5.230 2.693
Er Tm Pa Bi
2 1 1 4
direct
0.500 0.000 0.500
0.000 0.500 0.500
0.500 0.500 0.000
0.000 0.000 0.000
0.500 0.254 0.253
0.500 0.746 0.747
0.000 0.252 0.750
0.000 0.748 0.250


(13)
GGA-PBE Y2CdGa3Cu4, optimized geometry; symmetry = No. 115; energy of formation from the pure elements = -0.36 eV/atom
1.0
-1.863 -0.392 -3.686
3.226 -2.203 -1.396
-4.605 -8.812 3.265
Y Cd Ga Cu
2 1 3 4
direct
0.500 0.000 0.235
0.000 0.500 0.765
0.500 0.500 0.500
0.000 0.000 0.500
0.500 0.000 0.876
0.000 0.500 0.124
0.500 0.500 0.000
0.000 0.000 0.000
0.500 0.000 0.649
0.000 0.500 0.351


(14)
GGA-PBE MgZrSc2, optimized geometry; symmetry = No. 8; energy of formation from the pure elements = 0.03 eV/atom
1.0
5.688 -0.026 0.050
4.781 3.082 0.050
1.099 0.321 5.333
Sc Mg Zr
2 1 1
direct
0.992 0.992 0.010
0.754 0.754 0.726
0.247 0.247 0.243
0.507 0.507 0.521


(15)
GGA-PBE TaCr2B, optimized geometry; symmetry = No. 63; energy of formation from the pure elements = -0.17 eV/atom
1.0
3.016 0.000 0.000
0.000 3.581 0.000
-1.508 0.000 8.777
Ta Cr B
2 4 2
direct
0.383 0.250 0.766
0.617 0.750 0.234
0.751 0.250 0.503
0.249 0.750 0.497
0.033 0.250 0.066
0.967 0.750 0.934
0.161 0.250 0.323
0.839 0.750 0.677


(16)
GGA-PBE CePm3Pr2S6, optimized geometry; symmetry = No. 12; raw formation energy = -2037 meV/atom
1.0
-5.890 0.173 -3.820
3.739 -5.928 0.434
-2.787 0.104 6.459
Ce Pm Pr S
1 3 2 6
direct
0.000 0.000 0.000
0.170 0.830 0.500
0.830 0.170 0.500
0.500 0.500 0.500
0.333 0.667 0.000
0.667 0.333 0.000
0.916 0.587 0.747
0.756 0.756 0.256
0.084 0.413 0.253
0.587 0.916 0.747
0.244 0.244 0.744
0.413 0.084 0.253


(17)
GGA-PBE Ca4Hg2Pb3, optimized geometry; symmetry = No. 164; energy of formation from the pure elements = -0.48 eV/atom
1.0
5.455 0.000 0.000
2.727 4.686 0.598
-0.001 -1.315 10.291
Ca Hg Pb
4 2 3
direct
0.667 0.667 0.897
0.000 0.000 0.322
0.000 0.000 0.678
0.333 0.333 0.103
0.333 0.333 0.782
0.667 0.667 0.218
0.333 0.333 0.456
0.000 0.000 0.000
0.667 0.667 0.544


(18)
GGA-PBE CaTb3Tm2Bi6, optimized geometry; symmetry = No. 12; energy of formation from the pure elements = -0.81 eV/atom
1.0
-1.944 3.049 -2.654
-7.618 -4.794 0.072
-0.097 4.468 8.995
Ca Tb Tm Bi
1 3 2 6
direct
0.500 0.000 0.000
0.500 0.500 0.000
0.836 0.166 0.671
0.164 0.834 0.329
0.834 0.668 0.667
0.166 0.332 0.333
0.331 0.912 0.662
0.668 0.581 0.336
0.669 0.088 0.338
0.002 0.256 0.004
0.998 0.744 0.996
0.332 0.419 0.664


(19)
GGA-PBE KPRuO2, optimized geometry; symmetry = No. 123; raw formation energy = -303 meV/atom; E above lowest polymorph = 0.000 eV/atom
1.0
-3.946 -0.917 -0.630
1.057 -3.815 -1.068
-0.388 -1.332 4.372
Ru K O P
1 1 2 1
direct
0.000 0.000 0.000
0.500 0.500 0.500
0.000 0.500 0.000
0.500 0.000 0.000
0.000 0.000 0.500


(20)
GGA-PBE LiSm2Pt, optimized geometry; symmetry = No. 123; energy of formation from the pure elements = -0.56 eV/atom
1.0
-1.278 -3.001 1.823
4.587 -0.886 1.757
-0.978 2.838 3.987
Sm Pt Li
2 1 1
direct
0.000 0.000 0.500
0.000 0.500 0.000
0.500 0.000 0.000
0.500 0.500 0.500


no.,raw total energy (eV/cell)
1,-91.3
2,-48.8
3,-176.4
4,-47.1
5,-12.4
6,-54.3
7,-61.1
8,-24.7
9,-52.9
10,-71.6
11,-15.0
12,-43.5
13,-42.9
14,-22.7
15,-76.9
16,-79.0
17,-24.0
18,-57.9
19,-27.2
20,-19.6